(1)
# TeWSeS2Br PBE relaxed
# Polymorph energy (0 for the lowest one), eV/atom: 0.001
# SG: P-1 (2)
# DFT total energy, eV/atom: -5.2862
# Crystal system: triclinic
# Total magnetization, μB/f.u.: 0.0
data_TeWSeS2Br
_cell_length_a 6.298
_cell_length_b 7.974
_cell_length_c 8.303
_cell_angle_alpha 115.23
_cell_angle_beta 106.14
_cell_angle_gamma 96.04
_symmetry_space_group_name_H-M 'P 1'
_symmetry_Int_Tables_number 1
loop_
_symmetry_equiv_pos_as_xyz
'x,y,z'
loop_
_atom_site_label
_atom_site_fract_x
_atom_site_fract_y
_atom_site_fract_z
W1 0.775 0.000 0.000
W2 0.225 0.000 0.000
Te1 0.872 0.672 0.769
Te2 0.128 0.328 0.231
S1 0.523 0.221 0.983
S2 0.967 0.148 0.859
S3 0.033 0.852 0.141
S4 0.477 0.779 0.017
Se1 0.391 0.943 0.722
Se2 0.609 0.057 0.278
Br1 0.267 0.368 0.593
Br2 0.733 0.632 0.407


(2)
# TeWSeS2Br PBE relaxed
# Polymorph energy (0 for the lowest one), eV/atom: 0.004
# SG: P-1 (2)
# DFT total energy, eV/atom: -5.2829
# Crystal system: triclinic
# Total magnetization, μB/f.u.: 0.0
data_TeWSeS2Br
_cell_length_a 6.368
_cell_length_b 7.303
_cell_length_c 8.559
_cell_angle_alpha 114.65
_cell_angle_beta 104.83
_cell_angle_gamma 98.09
_symmetry_space_group_name_H-M 'P 1'
_symmetry_Int_Tables_number 1
loop_
_symmetry_equiv_pos_as_xyz
'x,y,z'
loop_
_atom_site_label
_atom_site_fract_x
_atom_site_fract_y
_atom_site_fract_z
Br1 0.249 0.398 0.544
Br2 0.751 0.602 0.456
W1 0.778 0.000 0.000
W2 0.222 0.000 0.000
S1 0.477 0.775 0.038
S2 0.024 0.843 0.144
S3 0.976 0.157 0.856
S4 0.523 0.225 0.962
Se1 0.114 0.332 0.176
Se2 0.886 0.668 0.824
Te1 0.376 0.871 0.699
Te2 0.624 0.129 0.301


(3)
# TeWSeS2Br PBE relaxed
# Polymorph energy (0 for the lowest one), eV/atom: 0.090
# SG: P-1 (2)
# DFT total energy, eV/atom: -5.1968
# Crystal system: triclinic
# Total magnetization, μB/f.u.: 0.0
data_TeWSeS2Br
_cell_length_a 6.362
_cell_length_b 7.915
_cell_length_c 8.089
_cell_angle_alpha 112.24
_cell_angle_beta 113.04
_cell_angle_gamma 96.16
_symmetry_space_group_name_H-M 'P 1'
_symmetry_Int_Tables_number 1
loop_
_symmetry_equiv_pos_as_xyz
'x,y,z'
loop_
_atom_site_label
_atom_site_fract_x
_atom_site_fract_y
_atom_site_fract_z
W1 0.230 0.001 0.001
W2 0.770 0.999 0.999
Te1 0.128 0.336 0.167
Te2 0.872 0.664 0.833
S1 0.538 0.236 0.012
S2 0.659 0.193 0.266
S3 0.341 0.807 0.734
S4 0.462 0.764 0.988
Br1 0.664 0.752 0.392
Br2 0.336 0.248 0.608
Se1 0.896 0.086 0.768
Se2 0.104 0.914 0.232


(4)
# TeWSeS2Br PBE relaxed
# Polymorph energy (0 for the lowest one), eV/atom: 0.066
# SG: P-1 (2)
# DFT total energy, eV/atom: -5.2215
# Crystal system: triclinic
# Total magnetization, μB/f.u.: 0.0
data_TeWSeS2Br
_cell_length_a 6.420
_cell_length_b 8.153
_cell_length_c 8.329
_cell_angle_alpha 105.98
_cell_angle_beta 105.10
_cell_angle_gamma 113.04
_symmetry_space_group_name_H-M 'P 1'
_symmetry_Int_Tables_number 1
loop_
_symmetry_equiv_pos_as_xyz
'x,y,z'
loop_
_atom_site_label
_atom_site_fract_x
_atom_site_fract_y
_atom_site_fract_z
W1 0.220 0.000 0.000
W2 0.780 0.000 0.000
Se1 0.489 0.107 0.810
Se2 0.511 0.893 0.190
Te1 0.279 0.734 0.737
Te2 0.721 0.266 0.263
Br1 0.101 0.362 0.766
Br2 0.899 0.638 0.234
S1 0.826 0.709 0.913
S2 0.166 0.148 0.271
S3 0.174 0.291 0.087
S4 0.834 0.852 0.729


(5)
# TeWSeS2Br PBE relaxed
# Polymorph energy (0 for the lowest one), eV/atom: 0.044
# SG: P-1 (2)
# DFT total energy, eV/atom: -5.2427
# Crystal system: triclinic
# Total magnetization, μB/f.u.: 0.0
data_TeWSeS2Br
_cell_length_a 6.411
_cell_length_b 7.762
_cell_length_c 8.229
_cell_angle_alpha 62.58
_cell_angle_beta 67.09
_cell_angle_gamma 82.64
_symmetry_space_group_name_H-M 'P 1'
_symmetry_Int_Tables_number 1
loop_
_symmetry_equiv_pos_as_xyz
'x,y,z'
loop_
_atom_site_label
_atom_site_fract_x
_atom_site_fract_y
_atom_site_fract_z
S1 0.016 0.290 0.879
S2 0.114 0.893 0.804
S3 0.886 0.107 0.196
S4 0.984 0.710 0.121
W1 0.217 0.000 0.000
W2 0.783 0.000 0.000
Te1 0.627 0.206 0.682
Te2 0.373 0.794 0.318
Se1 0.463 0.254 0.995
Se2 0.537 0.746 0.005
Br1 0.744 0.792 0.577
Br2 0.256 0.208 0.423


(6)
# TeWSeS2Br PBE relaxed
# Polymorph energy (0 for the lowest one), eV/atom: 0.019
# SG: P-1 (2)
# DFT total energy, eV/atom: -5.2681
# Crystal system: triclinic
# Total magnetization, μB/f.u.: 0.0
data_TeWSeS2Br
_cell_length_a 6.309
_cell_length_b 8.025
_cell_length_c 8.301
_cell_angle_alpha 117.65
_cell_angle_beta 106.12
_cell_angle_gamma 96.09
_symmetry_space_group_name_H-M 'P 1'
_symmetry_Int_Tables_number 1
loop_
_symmetry_equiv_pos_as_xyz
'x,y,z'
loop_
_atom_site_label
_atom_site_fract_x
_atom_site_fract_y
_atom_site_fract_z
Se1 0.037 0.848 0.155
Se2 0.963 0.152 0.845
Te1 0.866 0.667 0.755
Te2 0.134 0.333 0.245
W1 0.771 0.000 0.000
W2 0.229 0.000 0.000
S1 0.476 0.779 0.017
S2 0.524 0.221 0.983
S3 0.398 0.944 0.741
S4 0.602 0.056 0.259
Br1 0.272 0.364 0.608
Br2 0.728 0.636 0.392


(7)
# WSeS3Br PBE relaxed
# Polymorph energy (0 for the lowest one), eV/atom: 0.053
# SG: P-1 (2)
# DFT total energy, eV/atom: -5.4157
# Crystal system: triclinic
# Total magnetization, μB/f.u.: 0.0
data_WSeS3Br
_cell_length_a 6.204
_cell_length_b 7.782
_cell_length_c 7.908
_cell_angle_alpha 113.24
_cell_angle_beta 113.08
_cell_angle_gamma 96.29
_symmetry_space_group_name_H-M 'P 1'
_symmetry_Int_Tables_number 1
loop_
_symmetry_equiv_pos_as_xyz
'x,y,z'
loop_
_atom_site_label
_atom_site_fract_x
_atom_site_fract_y
_atom_site_fract_z
W1 0.773 0.999 0.000
W2 0.227 0.001 0.000
S1 0.539 0.242 0.011
S2 0.333 0.794 0.723
S3 0.100 0.919 0.222
S4 0.900 0.081 0.778
S5 0.667 0.206 0.277
S6 0.461 0.758 0.989
Br1 0.670 0.764 0.404
Br2 0.330 0.236 0.596
Se1 0.884 0.686 0.854
Se2 0.116 0.314 0.146


(8)
# WSeS3Br PBE relaxed
# Polymorph energy (0 for the lowest one), eV/atom: 0.041
# SG: P-1 (2)
# DFT total energy, eV/atom: -5.4282
# Crystal system: triclinic
# Total magnetization, μB/f.u.: 0.0
data_WSeS3Br
_cell_length_a 6.212
_cell_length_b 7.929
_cell_length_c 7.996
_cell_angle_alpha 106.12
_cell_angle_beta 106.18
_cell_angle_gamma 113.04
_symmetry_space_group_name_H-M 'P 1'
_symmetry_Int_Tables_number 1
loop_
_symmetry_equiv_pos_as_xyz
'x,y,z'
loop_
_atom_site_label
_atom_site_fract_x
_atom_site_fract_y
_atom_site_fract_z
S1 0.467 0.079 0.798
S2 0.533 0.921 0.202
S3 0.182 0.157 0.286
S4 0.818 0.843 0.714
S5 0.820 0.700 0.917
S6 0.180 0.300 0.083
Se1 0.283 0.747 0.745
Se2 0.717 0.253 0.255
Br1 0.904 0.635 0.239
Br2 0.096 0.365 0.761
W1 0.774 0.000 0.000
W2 0.226 0.000 0.000


(9)
# WSeS3Br PBE relaxed
# Polymorph energy (0 for the lowest one), eV/atom: 0.031
# SG: P-1 (2)
# DFT total energy, eV/atom: -5.4386
# Crystal system: triclinic
# Total magnetization, μB/f.u.: 0.0
data_WSeS3Br
_cell_length_a 6.199
_cell_length_b 7.822
_cell_length_c 8.013
_cell_angle_alpha 113.82
_cell_angle_beta 112.75
_cell_angle_gamma 96.23
_symmetry_space_group_name_H-M 'P 1'
_symmetry_Int_Tables_number 1
loop_
_symmetry_equiv_pos_as_xyz
'x,y,z'
loop_
_atom_site_label
_atom_site_fract_x
_atom_site_fract_y
_atom_site_fract_z
S1 0.897 0.708 0.873
S2 0.103 0.292 0.127
S3 0.464 0.762 0.994
S4 0.098 0.917 0.218
S5 0.536 0.238 0.006
S6 0.902 0.083 0.782
Br1 0.675 0.774 0.411
Br2 0.325 0.226 0.589
W1 0.224 0.000 0.000
W2 0.776 0.000 0.000
Se1 0.680 0.222 0.299
Se2 0.320 0.778 0.701